# 1
# KRb2Cd | the Alexandria database | PBE | optimized geometry
# E_tot = -0.818 eV per atom
# Energy relative to the lowest polymorph listed for this composition = 0.189 eV/atom
# ΔE_f = 0.17 eV per atom
data_KRb2Cd
_chemical_formula_sum 'K3 Rb6 Cd3'
_symmetry_space_group_name_H-M 'R -3 m'
_symmetry_Int_Tables_number 166
_symmetry_space_group_name_Hall '-R 3 2"'
_cell_length_a 4.6780
_cell_length_b 4.6780
_cell_length_c 46.9558
_cell_angle_alpha 90.00
_cell_angle_beta 90.00
_cell_angle_gamma 120.00
loop_
_atom_site_label
_atom_site_type_symbol
_atom_site_fract_x
_atom_site_fract_y
_atom_site_fract_z
K1 K 0.0000 0.0000 0.0000
Rb1 Rb 0.0000 0.0000 0.4186
Cd1 Cd 0.0000 0.0000 0.5000

---

# 2
# K2RbCd | the Alexandria database | PBE | optimized geometry
# E_tot = -1.015 eV per atom
# Energy relative to the lowest polymorph listed for this composition = 0.000 eV/atom
# ΔE_f = 0.00 eV per atom
data_K2RbCd
_chemical_formula_sum 'K8 Rb4 Cd4'
_symmetry_space_group_name_H-M 'P 1 21/c 1'
_symmetry_Int_Tables_number 14
_cell_length_a 11.7919
_cell_length_b 8.4535
_cell_length_c 11.1194
_cell_angle_alpha 90.00
_cell_angle_beta 117.96
_cell_angle_gamma 90.00
loop_
_symmetry_equiv_pos_as_xyz
'x,y,z'
'-x,-y,-z'
'-x,y+1/2,-z+1/2'
'x,-y+1/2,z+1/2'
loop_
_atom_site_label
_atom_site_type_symbol
_atom_site_fract_x
_atom_site_fract_y
_atom_site_fract_z
K1 K 0.1425 0.2444 0.0676
K2 K 0.1939 0.7064 0.8500
Rb1 Rb 0.4943 0.5028 0.3060
Cd1 Cd 0.4090 0.1363 0.4534

---

# 3
# K3Rb2Cd | the Alexandria database | PBE | optimized geometry
# E_tot = -1.025 eV per atom
# ΔE_f = 0.00 eV per atom
data_K3Rb2Cd
_chemical_formula_sum 'K6 Rb4 Cd2'
_symmetry_space_group_name_H-M 'P -1'
_symmetry_Int_Tables_number 2
_cell_length_a 8.0948
_cell_length_b 8.8829
_cell_length_c 13.2320
_cell_angle_alpha 95.55
_cell_angle_beta 106.09
_cell_angle_gamma 112.28
loop_
_symmetry_equiv_pos_as_xyz
'x,y,z'
'-x,-y,-z'
loop_
_atom_site_label
_atom_site_type_symbol
_atom_site_fract_x
_atom_site_fract_y
_atom_site_fract_z
K1 K 0.0288 0.4705 0.2459
K2 K 0.1062 0.0542 0.6834
K3 K 0.4532 0.5772 0.6448
Rb1 Rb 0.2591 0.9253 0.0855
Rb2 Rb 0.5000 0.0000 0.5000
Rb3 Rb 0.5000 0.5000 0.0000
Cd1 Cd 0.0394 0.6762 0.5080

---

# 4
# K9Rb6Cd | the Alexandria database | PBE | optimized geometry
# E_tot = -1.019 eV per atom
# ΔE_f = 0.02 eV per atom
data_K9Rb6Cd
_chemical_formula_sum 'K18 Rb12 Cd2'
_symmetry_space_group_name_H-M 'I 4/m'
_symmetry_Int_Tables_number 87
_symmetry_space_group_name_Hall '-I 4'
_cell_length_a 11.6331
_cell_length_b 11.6331
_cell_length_c 17.9482
_cell_angle_alpha 90.00
_cell_angle_beta 90.00
_cell_angle_gamma 90.00
loop_
_atom_site_label
_atom_site_type_symbol
_atom_site_fract_x
_atom_site_fract_y
_atom_site_fract_z
K1 K 0.0000 0.0000 0.0000
K2 K 0.1104 0.6831 0.1655
Rb1 Rb 0.0000 0.0000 0.2962
Rb2 Rb 0.1147 0.6960 0.5000
Cd1 Cd 0.0000 0.0000 0.5000

---

# 5
# KRb3Cd | the Alexandria database | PBE | optimized geometry
# E_tot = -0.990 eV per atom
# Energy relative to the lowest polymorph listed for this composition = 0.002 eV/atom
# ΔE_f = -0.01 eV per atom
data_KRb3Cd
_chemical_formula_sum 'K8 Rb24 Cd8'
_symmetry_space_group_name_H-M 'C 1 2/c 1'
_symmetry_Int_Tables_number 15
_cell_length_a 15.0014
_cell_length_b 18.3030
_cell_length_c 9.9261
_cell_angle_alpha 90.00
_cell_angle_beta 96.06
_cell_angle_gamma 90.00
loop_
_symmetry_equiv_pos_as_xyz
'x,y,z'
'-x,-y,-z'
'-x,y,-z+1/2'
'x,-y,z+1/2'
'x+1/2,y+1/2,z'
'-x+1/2,-y+1/2,-z'
'-x+1/2,y+1/2,-z+1/2'
'x+1/2,-y+1/2,z+1/2'
loop_
_atom_site_label
_atom_site_type_symbol
_atom_site_fract_x
_atom_site_fract_y
_atom_site_fract_z
K1 K 0.0000 0.0100 0.2500
K2 K 0.0000 0.3250 0.2500
Rb1 Rb 0.1355 0.1943 0.6057
Rb2 Rb 0.1429 0.4746 0.6066
Rb3 Rb 0.1775 0.1575 0.0647
Cd1 Cd 0.0592 0.3370 0.8806

---

# 6
# K5RbCd2 | the Alexandria database | PBE | optimized geometry
# E_tot = -1.024 eV per atom
# ΔE_f = 0.01 eV per atom
data_K5RbCd2
_chemical_formula_sum 'K10 Rb2 Cd4'
_symmetry_space_group_name_H-M 'I m m m'
_symmetry_Int_Tables_number 71
_symmetry_space_group_name_Hall '-I 2 2'
_cell_length_a 5.8702
_cell_length_b 11.4938
_cell_length_c 13.6813
_cell_angle_alpha 90.00
_cell_angle_beta 90.00
_cell_angle_gamma 90.00
loop_
_atom_site_label
_atom_site_type_symbol
_atom_site_fract_x
_atom_site_fract_y
_atom_site_fract_z
K1 K 0.0000 0.0000 0.0000
K2 K 0.0000 0.3135 0.3351
Rb1 Rb 0.0000 0.5000 0.0000
Cd1 Cd 0.0000 0.0000 0.2707

---

# 7
# K6RbCd4 | the Alexandria database | PBE | optimized geometry
# E_tot = -1.050 eV per atom
# ΔE_f = -0.03 eV per atom
data_K6RbCd4
_chemical_formula_sum 'K12 Rb2 Cd8'
_symmetry_space_group_name_H-M 'I -4 2 m'
_symmetry_Int_Tables_number 121
_symmetry_space_group_name_Hall 'I -4 2'
_cell_length_a 9.1792
_cell_length_b 9.1792
_cell_length_c 13.3818
_cell_angle_alpha 90.00
_cell_angle_beta 90.00
_cell_angle_gamma 90.00
loop_
_atom_site_label
_atom_site_type_symbol
_atom_site_fract_x
_atom_site_fract_y
_atom_site_fract_z
K1 K 0.0000 0.5000 0.0000
K2 K 0.1893 0.1893 0.2797
Rb1 Rb 0.0000 0.0000 0.0000
Cd1 Cd 0.1475 0.1475 0.5530

---

# 8
# K6Rb9Cd | the Alexandria database | PBE | optimized geometry
# E_tot = -1.001 eV per atom
# ΔE_f = 0.01 eV per atom
data_K6Rb9Cd
_chemical_formula_sum 'K12 Rb18 Cd2'
_symmetry_space_group_name_H-M 'I 4/m'
_symmetry_Int_Tables_number 87
_symmetry_space_group_name_Hall '-I 4'
_cell_length_a 11.6031
_cell_length_b 11.6031
_cell_length_c 18.8640
_cell_angle_alpha 90.00
_cell_angle_beta 90.00
_cell_angle_gamma 90.00
loop_
_atom_site_label
_atom_site_type_symbol
_atom_site_fract_x
_atom_site_fract_y
_atom_site_fract_z
K1 K 0.0000 0.0000 0.1880
K2 K 0.1003 0.7050 0.0000
Rb1 Rb 0.0000 0.0000 0.5000
Rb2 Rb 0.1138 0.6885 0.3409
Cd1 Cd 0.0000 0.0000 0.0000

---

# 9
# K2RbCd2 | the Alexandria database | PBE | optimized geometry
# E_tot = -1.048 eV per atom
# Energy relative to the lowest polymorph listed for this composition = 0.000 eV/atom
# ΔE_f = -0.05 eV per atom
data_K2RbCd2
_chemical_formula_sum 'K2 Rb1 Cd2'
_symmetry_space_group_name_H-M 'P 1 2/m 1'
_symmetry_Int_Tables_number 10
_cell_length_a 5.0152
_cell_length_b 5.1801
_cell_length_c 9.9545
_cell_angle_alpha 90.00
_cell_angle_beta 104.38
_cell_angle_gamma 90.00
loop_
_symmetry_equiv_pos_as_xyz
'x,y,z'
'-x,-y,-z'
'-x,y,-z'
'x,-y,z'
loop_
_atom_site_label
_atom_site_type_symbol
_atom_site_fract_x
_atom_site_fract_y
_atom_site_fract_z
K1 K 0.1534 0.0000 0.3056
Rb1 Rb 0.5000 0.5000 0.0000
Cd1 Cd 0.2923 0.5000 0.5856

---

# 10
# K3RbCd2 | the Alexandria database | PBE | optimized geometry
# E_tot = -1.062 eV per atom
# ΔE_f = -0.05 eV per atom
data_K3RbCd2
_chemical_formula_sum 'K12 Rb4 Cd8'
_symmetry_space_group_name_H-M 'C 1 2/m 1'
_symmetry_Int_Tables_number 12
_cell_length_a 21.0116
_cell_length_b 4.9733
_cell_length_c 14.6425
_cell_angle_alpha 90.00
_cell_angle_beta 121.75
_cell_angle_gamma 90.00
loop_
_symmetry_equiv_pos_as_xyz
'x,y,z'
'-x,-y,-z'
'-x,y,-z'
'x,-y,z'
'x+1/2,y+1/2,z'
'-x+1/2,-y+1/2,-z'
'-x+1/2,y+1/2,-z'
'x+1/2,-y+1/2,z'
loop_
_atom_site_label
_atom_site_type_symbol
_atom_site_fract_x
_atom_site_fract_y
_atom_site_fract_z
K1 K 0.0802 0.0000 0.4285
K2 K 0.0798 0.0000 0.9387
K3 K 0.1591 0.5000 0.2394
Rb1 Rb 0.1519 0.5000 0.7315
Cd1 Cd 0.2319 0.5000 0.0379
Cd2 Cd 0.2324 0.5000 0.5381

---

# 11
# KRbCd3 | the Alexandria database | PBE | optimized geometry
# E_tot = -0.610 eV per atom
# Energy relative to the lowest polymorph listed for this composition = 0.412 eV/atom
# ΔE_f = 0.35 eV per atom
data_KRbCd3
_chemical_formula_sum 'K1 Rb1 Cd3'
_symmetry_space_group_name_H-M 'P m -3 m'
_symmetry_Int_Tables_number 221
_symmetry_space_group_name_Hall '-P 4 2 3'
_cell_length_a 6.6375
_cell_length_b 6.6375
_cell_length_c 6.6375
_cell_angle_alpha 90.00
_cell_angle_beta 90.00
_cell_angle_gamma 90.00
loop_
_atom_site_label
_atom_site_type_symbol
_atom_site_fract_x
_atom_site_fract_y
_atom_site_fract_z
K1 K 0.0000 0.0000 0.0000
Rb1 Rb 0.5000 0.5000 0.5000
Cd1 Cd 0.0000 0.5000 0.5000

---

# 12
# KRb4Cd2 | the Alexandria database | PBE | optimized geometry
# E_tot = -0.810 eV per atom
# ΔE_f = 0.16 eV per atom
data_KRb4Cd2
_chemical_formula_sum 'K2 Rb8 Cd4'
_symmetry_space_group_name_H-M 'I 4/m m m'
_symmetry_Int_Tables_number 139
_symmetry_space_group_name_Hall '-I 4 2'
_cell_length_a 7.5357
_cell_length_b 7.5357
_cell_length_c 18.9277
_cell_angle_alpha 90.00
_cell_angle_beta 90.00
_cell_angle_gamma 90.00
loop_
_atom_site_label
_atom_site_type_symbol
_atom_site_fract_x
_atom_site_fract_y
_atom_site_fract_z
K1 K 0.0000 0.0000 0.0000
Rb1 Rb 0.0000 0.0000 0.2311
Rb2 Rb 0.0000 0.5000 0.0000
Cd1 Cd 0.0000 0.0000 0.4229

---

# 13
# K4Rb3Cd | the Alexandria database | PBE | optimized geometry
# E_tot = -1.018 eV per atom
# ΔE_f = 0.01 eV per atom
data_K4Rb3Cd
_chemical_formula_sum 'K4 Rb3 Cd1'
_symmetry_space_group_name_H-M 'P 4/m m m'
_symmetry_Int_Tables_number 123
_symmetry_space_group_name_Hall '-P 4 2'
_cell_length_a 4.6477
_cell_length_b 4.6477
_cell_length_c 25.6879
_cell_angle_alpha 90.00
_cell_angle_beta 90.00
_cell_angle_gamma 90.00
loop_
_atom_site_label
_atom_site_type_symbol
_atom_site_fract_x
_atom_site_fract_y
_atom_site_fract_z
K1 K 0.0000 0.0000 0.0781
K2 K 0.0000 0.0000 0.3578
Rb1 Rb 0.5000 0.5000 0.2162
Rb2 Rb 0.5000 0.5000 0.5000
Cd1 Cd 0.5000 0.5000 0.0000

---

# 14
# KRb2Cd2 | the Alexandria database | PBE | optimized geometry
# E_tot = -0.909 eV per atom
# Energy relative to the lowest polymorph listed for this composition = 0.087 eV/atom
# ΔE_f = 0.06 eV per atom
data_KRb2Cd2
_chemical_formula_sum 'K2 Rb4 Cd4'
_symmetry_space_group_name_H-M 'P 4/m b m'
_symmetry_Int_Tables_number 127
_symmetry_space_group_name_Hall '-P 4 2ab'
_cell_length_a 10.9813
_cell_length_b 10.9813
_cell_length_c 4.1745
_cell_angle_alpha 90.00
_cell_angle_beta 90.00
_cell_angle_gamma 90.00
loop_
_atom_site_label
_atom_site_type_symbol
_atom_site_fract_x
_atom_site_fract_y
_atom_site_fract_z
K1 K 0.0000 0.0000 0.0000
Rb1 Rb 0.1380 0.3620 0.0000
Cd1 Cd 0.1567 0.6567 0.5000

---

# 15
# KRb14Cd | the Alexandria database | PBE | optimized geometry
# E_tot = -0.944 eV per atom
# ΔE_f = 0.03 eV per atom
data_KRb14Cd
_chemical_formula_sum 'K2 Rb28 Cd2'
_symmetry_space_group_name_H-M 'A m m 2'
_symmetry_Int_Tables_number 38
_cell_length_a 15.6705
_cell_length_b 9.6442
_cell_length_c 17.7954
_cell_angle_alpha 90.00
_cell_angle_beta 90.00
_cell_angle_gamma 90.00
loop_
_symmetry_equiv_pos_as_xyz
'x,y,z'
'-x,-y,z'
'-x,y,z'
'x,-y,z'
'x,y+1/2,z+1/2'
'-x,-y+1/2,z+1/2'
'-x,y+1/2,z+1/2'
'x,-y+1/2,z+1/2'
loop_
_atom_site_label
_atom_site_type_symbol
_atom_site_fract_x
_atom_site_fract_y
_atom_site_fract_z
K1 K 0.0000 0.0000 0.0000
Rb1 Rb 0.0000 0.2352 0.2549
Rb2 Rb 0.1979 0.0000 0.6164
Rb3 Rb 0.2369 0.2482 0.3926
Rb4 Rb 0.2543 0.0000 0.1435
Rb5 Rb 0.5000 0.0000 0.4874
Rb6 Rb 0.5000 0.0000 0.9814
Rb7 Rb 0.5000 0.2424 0.7337
Cd1 Cd 0.0000 0.0000 0.4493

---

# 16
# K5Rb4Cd2 | the Alexandria database | PBE | optimized geometry
# E_tot = -1.010 eV per atom
# ΔE_f = 0.01 eV per atom
data_K5Rb4Cd2
_chemical_formula_sum 'K5 Rb4 Cd2'
_symmetry_space_group_name_H-M 'P 1 2/m 1'
_symmetry_Int_Tables_number 10
_cell_length_a 11.2249
_cell_length_b 4.9478
_cell_length_c 13.3088
_cell_angle_alpha 90.00
_cell_angle_beta 95.93
_cell_angle_gamma 90.00
loop_
_symmetry_equiv_pos_as_xyz
'x,y,z'
'-x,-y,-z'
'-x,y,-z'
'x,-y,z'
loop_
_atom_site_label
_atom_site_type_symbol
_atom_site_fract_x
_atom_site_fract_y
_atom_site_fract_z
K1 K 0.0000 0.0000 0.0000
K2 K 0.0453 0.0000 0.3345
K3 K 0.3402 0.0000 0.8585
Rb1 Rb 0.2957 0.5000 0.5612
Rb2 Rb 0.3258 0.5000 0.1765
Cd1 Cd 0.4432 0.0000 0.3905

---

# 17
# K12RbCd6 | the Alexandria database | PBE | optimized geometry
# E_tot = -1.039 eV per atom
# ΔE_f = -0.01 eV per atom
data_K12RbCd6
_chemical_formula_sum 'K24 Rb2 Cd12'
_symmetry_space_group_name_H-M 'I m -3'
_symmetry_Int_Tables_number 204
_symmetry_space_group_name_Hall '-I 2 2 3'
_cell_length_a 12.7290
_cell_length_b 12.7290
_cell_length_c 12.7290
_cell_angle_alpha 90.00
_cell_angle_beta 90.00
_cell_angle_gamma 90.00
loop_
_atom_site_label
_atom_site_type_symbol
_atom_site_fract_x
_atom_site_fract_y
_atom_site_fract_z
K1 K 0.0000 0.1912 0.3027
Rb1 Rb 0.0000 0.0000 0.0000
Cd1 Cd 0.0000 0.3864 0.5000

---

# 18
# K2RbCd | the Alexandria database | PBE | optimized geometry
# E_tot = -0.986 eV per atom
# Energy relative to the lowest polymorph listed for this composition = 0.029 eV/atom
# ΔE_f = 0.03 eV per atom
data_K2RbCd
_chemical_formula_sum 'K2 Rb1 Cd1'
_symmetry_space_group_name_H-M 'P 4/m m m'
_symmetry_Int_Tables_number 123
_symmetry_space_group_name_Hall '-P 4 2'
_cell_length_a 5.9962
_cell_length_b 5.9962
_cell_length_c 6.0931
_cell_angle_alpha 90.00
_cell_angle_beta 90.00
_cell_angle_gamma 90.00
loop_
_atom_site_label
_atom_site_type_symbol
_atom_site_fract_x
_atom_site_fract_y
_atom_site_fract_z
K1 K 0.0000 0.5000 0.0000
Rb1 Rb 0.0000 0.0000 0.5000
Cd1 Cd 0.5000 0.5000 0.5000

---

# 19
# K4Rb6Cd | the Alexandria database | PBE | optimized geometry
# E_tot = -0.978 eV per atom
# ΔE_f = 0.03 eV per atom
data_K4Rb6Cd
_chemical_formula_sum 'K8 Rb12 Cd2'
_symmetry_space_group_name_H-M 'P 4/m n c'
_symmetry_Int_Tables_number 128
_symmetry_space_group_name_Hall '-P 4 2n'
_cell_length_a 11.6172
_cell_length_b 11.6172
_cell_length_c 12.4962
_cell_angle_alpha 90.00
_cell_angle_beta 90.00
_cell_angle_gamma 90.00
loop_
_atom_site_label
_atom_site_type_symbol
_atom_site_fract_x
_atom_site_fract_y
_atom_site_fract_z
K1 K 0.1373 0.3627 0.2500
Rb1 Rb 0.0000 0.0000 0.1930
Rb2 Rb 0.1408 0.6901 0.5000
Cd1 Cd 0.0000 0.0000 0.5000

---

# 20
# K4Rb5Cd2 | the Alexandria database | PBE | optimized geometry
# E_tot = -0.967 eV per atom
# ΔE_f = 0.04 eV per atom
data_K4Rb5Cd2
_chemical_formula_sum 'K8 Rb10 Cd4'
_symmetry_space_group_name_H-M 'C 1 2/m 1'
_symmetry_Int_Tables_number 12
_cell_length_a 29.9978
_cell_length_b 4.6543
_cell_length_c 10.9927
_cell_angle_alpha 90.00
_cell_angle_beta 92.85
_cell_angle_gamma 90.00
loop_
_symmetry_equiv_pos_as_xyz
'x,y,z'
'-x,-y,-z'
'-x,y,-z'
'x,-y,z'
'x+1/2,y+1/2,z'
'-x+1/2,-y+1/2,-z'
'-x+1/2,y+1/2,-z'
'x+1/2,-y+1/2,z'
loop_
_atom_site_label
_atom_site_type_symbol
_atom_site_fract_x
_atom_site_fract_y
_atom_site_fract_z
K1 K 0.0572 0.0000 0.3515
K2 K 0.1885 0.5000 0.4873
Rb1 Rb 0.0000 0.5000 0.0000
Rb2 Rb 0.0979 0.0000 0.7493
Rb3 Rb 0.1886 0.0000 0.0964
Cd1 Cd 0.2235 0.0000 0.7468